Entry 1:
## MnAlSe2 (PBE)

Data for crystalline MnAlSe2 at its relaxed geometry.

```
4
Lattice="3.585 0.000 0.000 0.000 4.810 -0.653 0.000 1.819 4.467" Properties=species:S:1:pos:R:3 pbc="T T T"
Mn 1.792 4.972 2.861
Al 1.792 1.657 0.954
Se 0.000 6.430 3.698
Se 0.000 3.513 2.024
```

Output
**E_form (uncorrected)**: -0.0358 eV per atom



Entry 2:
## KZnCu2 (PBE)

Data for crystalline KZnCu2 at its relaxed geometry.

```
8
Lattice="-1.155 3.750 -2.931 -2.286 -3.083 -3.042 -8.936 1.458 1.295" Properties=species:S:1:pos:R:3 pbc="T T T"
Zn 0.000 0.000 0.000
Zn -5.906 2.771 -2.311
K -1.721 0.334 -2.987
K -6.471 -0.645 -2.367
Cu -3.530 3.260 -2.621
Cu -4.674 1.719 -4.143
Cu -7.421 2.114 -0.508
Cu -7.998 3.990 -1.973
```

Output
**Formation energy from the elements**: 1.02 eV per formula unit



Entry 3:
## CsNa2Au2 (PBE)

Data for crystalline CsNa2Au2 at its relaxed geometry.

```
5
Lattice="-1.519 -4.614 0.717 1.871 -1.293 -4.352 5.924 -4.396 1.082" Properties=species:S:1:pos:R:3 pbc="T T T"
Cs 0.000 0.000 0.000
Na 2.290 -5.982 -0.009
Na 3.985 -4.321 -2.544
Au 1.406 -3.262 -1.197
Au 4.869 -7.040 -1.356
```

Output
**Energy above the lowest structure with this stoichiometry**: 0 meV/atom
**Formation energy from the elements**: -1.41 eV per formula unit



Entry 4:
## CuRuSe2N (PBE)

Data for crystalline CuRuSe2N at its relaxed geometry.

```
5
Lattice="-2.629 0.185 -4.326 -3.428 -3.182 1.947 -1.888 2.809 1.267" Properties=species:S:1:pos:R:3 pbc="T T T"
Ru 0.000 0.000 0.000
Cu -3.972 -0.094 -0.556
Se -1.714 -1.591 0.974
Se -1.315 0.092 -2.163
N -0.944 1.404 0.634
```

Output
**Energy above the lowest structure with this stoichiometry**: 0 meV/atom
**E_form (uncorrected)**: 0.5829 eV per atom



Entry 5:
## Ac8CoRu3Br3 (PBE)

Data for crystalline Ac8CoRu3Br3 at its relaxed geometry.

```
15
Lattice="-3.359 7.729 1.613 -1.279 -3.727 -7.628 -4.896 -3.686 7.471" Properties=species:S:1:pos:R:3 pbc="T T T"
Ac -3.085 -1.053 -1.379
Ac -6.448 1.369 2.835
Ac -4.808 2.795 -0.586
Ac -4.726 -2.480 2.041
Ac -4.160 4.678 3.271
Ac -5.374 -4.362 -1.816
Ac -2.463 0.774 2.457
Ac -7.071 -0.458 -1.001
Co -2.448 -1.843 3.735
Ru -4.127 2.021 4.542
Ru -4.767 0.158 0.728
Ru -3.087 -3.707 -0.079
Br 0.000 0.000 0.000
Br -0.639 -1.863 -3.814
Br -2.319 2.001 -3.008
```

Output
**E_form (uncorrected)**: -0.6516 eV per atom



Entry 6:
## CaCeTh2P4 (PBE)

Data for crystalline CaCeTh2P4 at its relaxed geometry.

```
8
Lattice="4.149 0.000 0.000 0.000 7.154 -0.131 0.000 2.527 6.713" Properties=species:S:1:pos:R:3 pbc="T T T"
Ca 0.000 4.841 3.291
Ce 2.075 3.577 -0.065
Th 0.000 2.527 6.713
Th 2.075 1.264 3.356
P 0.000 7.268 4.951
P 4.149 2.413 1.631
P 2.075 6.016 1.549
P 2.075 3.665 5.033
```

Output
**Formation energy from the elements**: -11.73 eV per formula unit



Entry 7:
## SrNd2Dy3Te6 (PBE)

Data for crystalline SrNd2Dy3Te6 at its relaxed geometry.

```
12
Lattice="-2.501 -0.416 -3.641 2.731 -8.507 -0.904 -6.743 -0.421 7.383" Properties=species:S:1:pos:R:3 pbc="T T T"
Sr -1.250 -0.208 -1.820
Nd -4.691 -6.177 1.225
Nd -1.821 -3.167 1.613
Dy 0.115 -4.462 -2.273
Dy -6.100 -2.127 1.730
Dy -0.412 -7.218 1.108
Te -2.737 -8.269 2.825
Te -2.218 -5.422 -0.560
Te -3.775 -1.076 0.013
Te -8.527 -3.059 3.504
Te 2.015 -6.286 -0.666
Te -4.294 -3.922 3.398
```

Output
**E_form (uncorrected)**: -1.3993 eV per atom



Entry 8:
## Cu2ReP (PBE)

Data for crystalline Cu2ReP at its relaxed geometry.

```
8
Lattice="-0.849 6.488 2.011 -6.306 -1.506 2.197 -2.713 1.950 4.213" Properties=species:S:1:pos:R:3 pbc="T T T"
Re 0.000 0.000 0.000
Re -3.570 5.465 4.164
Cu -1.968 4.132 2.516
Cu -4.755 0.579 2.747
Cu -4.934 3.279 4.813
Cu -8.080 5.873 6.767
P -3.578 2.491 2.104
P -6.298 1.467 4.257
```

Output
**Formation energy from the elements**: 1.57 eV per formula unit



Entry 9:
## CaPmSm14 (PBE)

Data for crystalline CaPmSm14 at its relaxed geometry.

```
16
Lattice="-7.329 0.850 0.400 3.283 -0.718 -6.580 -1.312 -11.604 0.611" Properties=species:S:1:pos:R:3 pbc="T T T"
Ca -3.790 0.327 -1.928
Pm 1.502 -0.454 -5.409
Sm -4.448 -5.475 -1.621
Sm 0.857 -6.258 -5.111
Sm -0.128 -0.098 -2.144
Sm -0.784 -5.900 -1.823
Sm -2.135 -0.033 -5.209
Sm -2.805 -5.834 -4.910
Sm -2.847 -8.511 -0.492
Sm -2.198 -2.771 -0.794
Sm -4.901 -8.444 -3.630
Sm -4.252 -2.704 -3.932
Sm -6.569 -8.084 -0.289
Sm -5.919 -2.335 -0.591
Sm -1.240 -8.913 -3.795
Sm -0.581 -3.081 -4.102
```

Output
**Formation energy from the elements**: 0.64 eV per formula unit



Entry 10:
## Mg2ScSi (PBE)

Data for crystalline Mg2ScSi at its relaxed geometry.

```
4
Lattice="3.180 0.135 0.000 -0.165 3.179 0.000 0.000 0.000 8.114" Properties=species:S:1:pos:R:3 pbc="T T T"
Mg 0.000 0.000 7.821
Mg 1.508 1.657 1.993
Sc 0.000 0.000 4.400
Si 1.508 1.657 6.072
```

Output
**E_form (uncorrected)**: -0.1319 eV per atom



Entry 11:
## Cs2LiSeCl (PBE)

Data for crystalline Cs2LiSeCl at its relaxed geometry.

```
5
Lattice="6.960 0.000 0.000 0.000 6.960 0.000 0.000 0.000 4.703" Properties=species:S:1:pos:R:3 pbc="T T T"
Cs 0.000 3.480 0.000
Cs 3.480 0.000 0.000
Li 0.000 0.000 2.352
Se 0.000 0.000 0.000
Cl 3.480 3.480 2.352
```

Output
**E_form (uncorrected)**: -1.3010 eV per atom



Entry 12:
## La3Co7Cu2 (PBE)

Data for crystalline La3Co7Cu2 at its relaxed geometry.

```
12
Lattice="4.816 0.000 1.507 2.172 4.299 1.507 -0.177 -0.109 9.013" Properties=species:S:1:pos:R:3 pbc="T T T"
La 0.000 0.000 0.000
La 5.945 3.657 6.347
La 0.866 0.533 5.680
Co 3.406 2.095 6.014
Co 5.289 1.780 4.200
Co 3.974 3.918 4.200
Co 2.893 1.780 3.450
Co 1.523 2.410 7.828
Co 3.918 2.410 8.578
Co 2.838 0.272 7.828
Cu 4.484 2.758 11.018
Cu 2.328 1.432 1.010
```

Output
**Formation energy from the elements**: -0.66 eV per formula unit



Number 1: density of states at the Fermi level 0.576 states/eV per atom. Number 2: density of states at the Fermi level 0.393 states/eV per atom. Number 3: density of states at the Fermi level 0.389 states/eV per atom. Number 4: density of states at the Fermi level 1.073 states/eV per atom. Number 5: density of states at the Fermi level 0.382 states/eV per atom. Number 6: density of states at the Fermi level 0.809 states/eV per atom. Number 7: density of states at the Fermi level 0.474 states/eV per atom. Number 8: density of states at the Fermi level 0.556 states/eV per atom. Number 9: density of states at the Fermi level 1.660 states/eV per atom. Number 10: density of states at the Fermi level 0.710 states/eV per atom. Number 11: density of states at the Fermi level 0.000 states/eV per atom. Number 12: density of states at the Fermi level 1.296 states/eV per atom.